Below is an optimized crystal structure of LiTi3S6, with properties calculated at the PBEsol level.

It has space group P-3m1 (No. 164), with a = 3.3617 Å, b = 3.3617 Å, c = 17.4730 Å, α = 90.00°, β = 90.00° and γ = 120.00°. The inequivalent atoms are Li at (0.0000, 0.0000, 0.0000), Ti at (0.0000, 0.0000, 0.1790), Ti at (0.0000, 0.0000, 0.5000), S at (0.3333, 0.6667, 0.2588), S at (0.3333, 0.6667, 0.5814) and S at (0.3333, 0.6667, 0.9072).

The magnetization is 0.00 μB per atom. The calculation puts the total energy at -6.7298 eV per atom.